Entry 1:
Material: PmHo4Er2
Method: DFT, GGA-PBE
State: relaxed

Cell and atoms, written as POSCAR:
```
PmHo4Er2
1.0
-2.340 2.459 -0.893
-2.311 -8.428 -3.380
-2.748 2.632 7.561
Ho Er Pm
4 2 1
Cartesian
-3.186 0.051 1.582
-4.254 2.465 4.137
-4.213 -3.388 1.707
-3.145 -5.802 -0.849
-2.223 -2.370 -0.709
-5.175 -0.967 3.998
0.000 0.000 0.000
```

Results
The calculation puts the energy relative to the lowest polymorph listed for this composition at 0 meV per atom. The value obtained for the formation enthalpy at 0 K is 34 meV/atom.



Entry 2:
Material: Sr2In2Au7
Method: DFT, GGA-PBE
State: relaxed

Cell and atoms, written as POSCAR:
```
Sr2In2Au7
1.0
5.573 -1.023 -0.773
-1.358 7.004 -0.564
-1.409 1.062 6.936
Au In Sr
7 2 2
Cartesian
0.000 0.000 0.000
3.792 3.366 -0.407
2.166 1.694 1.357
-0.986 3.677 6.007
3.767 0.348 3.401
-0.961 6.695 2.198
0.640 5.349 4.242
3.354 4.566 3.640
-0.548 2.477 1.959
1.417 5.180 0.706
1.389 1.863 4.893
```

Results
The value obtained for the formation enthalpy at 0 K is -465 meV/atom.